[1]
This record from the Alexandria database describes an optimized crystal structure of BaTa2. The functional is PBE.

a b c (Å): 4.7422 4.7422 4.2154
angles (deg): 90.00 90.00 120.00
Space group P6/mmm (No. 191)
One atom of each set of equivalent atoms:
Ba (0.0000, 0.0000, 0.0000) [1 per cell]
Ta (0.3333, 0.6667, 0.5000) [2 per cell]

Polymorph energy (0 for the lowest one) ... 861 meV/atom
Calculated formation energy ... 1406 meV/atom

=====

[2]
This record from the Alexandria database describes an optimized crystal structure of TiNi. The functional is PBE.

a b c (Å): 4.1254 4.1254 4.8587
angles (deg): 90.00 90.00 120.00
Space group P6_3/mmc (No. 194)
One atom of each set of equivalent atoms:
Ti (0.3333, 0.6667, 0.2500) [2 per cell]
Ni (0.3333, 0.6667, 0.7500) [2 per cell]

Calculated formation energy ... 370 meV/atom

=====

[3]
This record from the Alexandria database describes an optimized crystal structure of K2PmReO6. The functional is PBE.

a b c (Å): 8.4859 8.4859 8.4859
angles (deg): 90.00 90.00 90.00
Space group Fm-3m (No. 225)
One atom of each set of equivalent atoms:
K (0.2500, 0.2500, 0.2500) [8 per cell]
Pm (0.0000, 0.0000, 0.0000) [4 per cell]
Re (0.0000, 0.0000, 0.5000) [4 per cell]
O (0.0000, 0.0000, 0.2756) [24 per cell]

Raw formation energy ... -2.189 eV per atom

=====

[4]
This record from the Alexandria database describes an optimized crystal structure of Li2Zn4Pt3. The functional is PBE.

a b c (Å): 5.1874 7.0272 7.1726
angles (deg): 99.39 93.74 96.42
Space group P-1 (No. 2)
One atom of each set of equivalent atoms:
Li (0.0255, 0.1146, 0.2699) [2 per cell]
Li (0.2400, 0.4485, 0.4916) [2 per cell]
Zn (0.0835, 0.5502, 0.8333) [2 per cell]
Zn (0.3051, 0.8888, 0.0619) [2 per cell]
Zn (0.3370, 0.1146, 0.5975) [2 per cell]
Zn (0.4307, 0.5429, 0.1832) [2 per cell]
Pt (0.1421, 0.7790, 0.3767) [2 per cell]
Pt (0.2087, 0.2250, 0.9526) [2 per cell]
Pt (0.4505, 0.7831, 0.7133) [2 per cell]

Calculated formation energy ... -553 meV/atom

=====

[5]
This record from the Alexandria database describes an optimized crystal structure of Zr2TiCrN. The functional is PBE.

a b c (Å): 5.0003 5.0003 3.9678
angles (deg): 90.00 90.00 90.00
Space group P4/mmm (No. 123)
One atom of each set of equivalent atoms:
Zr (0.0000, 0.5000, 0.0000) [2 per cell]
Ti (0.0000, 0.0000, 0.0000) [1 per cell]
Cr (0.0000, 0.0000, 0.5000) [1 per cell]
N (0.5000, 0.5000, 0.5000) [1 per cell]

Raw formation energy ... 1.748 eV per atom

=====

[6]
This record from the Alexandria database describes an optimized crystal structure of Li2PrEr2Sb2. The functional is PBE.

a b c (Å): 4.7593 4.7593 26.7756
angles (deg): 90.00 90.00 120.00
Space group R-3m (No. 166, hexagonal axes)
One atom of each set of equivalent atoms:
Li (0.0000, 0.0000, 0.0872) [6 per cell]
Pr (0.0000, 0.0000, 0.5000) [3 per cell]
Er (0.0000, 0.0000, 0.3681) [6 per cell]
Sb (0.0000, 0.0000, 0.2406) [6 per cell]

Raw formation energy ... -0.560 eV per atom

=====

Let's list DFT total energy in order: -7.136, -6.468, -7.103, -3.558, -6.840, -4.272 eV per atom.
Let's list M_tot in order: 0.0, 0.0, 0.0, 0.0, 0.0, 0.5 μB/f.u..